Entry i
First-principles (GGA-PBE) data for TbY4Th2 after structural relaxation, as listed in Alexandria via LeMat-Bulk.

abc: 5.5613 5.5613 9.2762
angles: 107.44 107.44 90.00
Closest atoms and distances in Å follow each position.
Fractional coordinates of all 7 atoms:
1 Tb 0.0000 0.0000 0.0000  6 Y 2.78-3.05
2 Y 0.8187 0.8187 0.6373  1 Tb 3.05
3 Y 0.1813 0.1813 0.3627  1 Tb 3.05
4 Y 0.0000 0.5000 0.0000  2 Tb 2.78
5 Y 0.5000 0.0000 0.0000  2 Tb 2.78
6 Th 0.6138 0.6138 0.2275  5 Y 3.37-3.44
7 Th 0.3862 0.3862 0.7725  5 Y 3.37-3.44

Output
Space group   I4/mmm
Magnetic moment   0.04 μB per atom
V   259.8 Å³/cell

Entry ii
First-principles (GGA-PBE) data for TbY4Th2 after structural relaxation, as listed in Alexandria via LeMat-Bulk.

abc: 3.5021 8.5874 8.9737
angles: 120.23 81.94 99.50
Closest atoms and distances in Å follow each position.
Fractional coordinates of all 7 atoms:
1 Tb 0.0000 0.0000 0.0000  2 Th 3.26, 4 Y 3.48-3.50, 2 Tb 3.50
2 Y 0.3520 0.7216 0.5791  1 Tb 3.48, 8 Y 3.50-3.88, 2 Th 3.53-3.59
3 Y 0.9474 0.1646 0.7175  7 Y 3.49-3.81, 1 Tb 3.50, 4 Th 3.54-3.67
4 Y 0.6480 0.2784 0.4209  1 Tb 3.48, 8 Y 3.50-3.88, 2 Th 3.53-3.59
5 Y 0.0526 0.8354 0.2825  7 Y 3.49-3.81, 1 Tb 3.50, 4 Th 3.54-3.67
6 Th 0.4064 0.4142 0.1303  1 Tb 3.26, 3 Th 3.29-3.50, 5 Y 3.53-3.64
7 Th 0.5936 0.5858 0.8697  1 Tb 3.26, 3 Th 3.29-3.50, 5 Y 3.53-3.64

Output
Space group   P-1
Magnetic moment   0.00 μB per atom
V   229.5 Å³/cell

We find entry ii to be the most stable, with the next structure 694 meV per atom higher.

Entry i
First-principles (GGA-PBE) data for Tb2YTh after structural relaxation, as listed in Alexandria via LeMat-Bulk.

abc: 3.5583 6.8072 11.6603
angles: 95.18 107.79 74.75
Closest atoms and distances in Å follow each position.
Fractional coordinates of all 8 atoms:
1 Tb 0.0262 0.0138 0.5522  5 Tb 3.48-3.56, 4 Y 3.70-3.73, 4 Th 3.72-3.73
2 Tb 0.4867 0.0911 0.0502  5 Tb 3.48-3.56, 4 Y 3.70-3.73, 4 Th 3.72-3.73
3 Tb 0.7566 0.5609 0.0558  3 Th 3.35-3.46, 3 Y 3.39-3.56, 5 Tb 3.48-3.56
4 Tb 0.7562 0.5440 0.5465  3 Th 3.35-3.46, 3 Y 3.39-3.56, 5 Tb 3.48-3.56
5 Y 0.6119 0.3131 0.7868  7 Tb 3.39-3.73, 5 Y 3.44-3.63
6 Y 0.9009 0.7918 0.8156  7 Tb 3.39-3.73, 5 Y 3.44-3.63
7 Th 0.1443 0.3093 0.3168  7 Tb 3.35-3.73, 5 Th 3.39-3.68
8 Th 0.3686 0.7957 0.2855  7 Tb 3.35-3.73, 5 Th 3.39-3.68

Output
Space group   P-1
Magnetic moment   0.00 μB per atom
V   259.4 Å³/cell

Entry ii
First-principles (GGA-PBE) data for Tb2YTh after structural relaxation, as listed in Alexandria via LeMat-Bulk.

abc: 3.5359 5.7014 13.0603
angles: 90.01 82.14 90.00
Closest atoms and distances in Å follow each position.
Fractional coordinates of all 8 atoms:
1 Tb 0.8655 0.8585 0.2781  2 Y 3.39, 4 Tb 3.54-3.73, 6 Th 3.56-3.67
2 Tb 0.6638 0.3580 0.6844  5 Y 3.42-3.65, 4 Tb 3.54-3.73
3 Tb 0.2381 0.8585 0.5315  5 Y 3.43-3.65, 4 Tb 3.54-3.73
4 Tb 0.0365 0.3583 0.9378  2 Y 3.39, 4 Tb 3.54-3.73, 6 Th 3.56-3.67
5 Y 0.1077 0.8580 0.7963  7 Tb 3.39-3.65, 2 Th 3.50, 2 Y 3.54
6 Y 0.7943 0.3585 0.4197  7 Tb 3.39-3.65, 2 Th 3.50, 2 Y 3.54
7 Th 0.4898 0.8585 0.0300  4 Th 3.49-3.54, 2 Y 3.50, 6 Tb 3.56-3.67
8 Th 0.4121 0.3584 0.1860  4 Th 3.49-3.54, 2 Y 3.50, 6 Tb 3.56-3.67

Output
Space group   P2_1/m
Magnetic moment   0.00 μB per atom
V   260.8 Å³/cell

We find entry i to be the most stable, with the next structure 23 meV per atom higher.

Entry i
First-principles (GGA-PBE) data for Tb2YTh after structural relaxation, as listed in Alexandria via LeMat-Bulk.

abc: 5.0355 5.0431 5.0431
angles: 90.00 90.00 90.00
Closest atoms and distances in Å follow each position.
Fractional coordinates of all 4 atoms:
1 Y 0.5000 0.5000 0.5000  8 Tb 3.56, 4 Th 3.57
2 Tb 0.0000 0.0000 0.5000  4 Th 3.56, 4 Y 3.56, 4 Tb 3.57
3 Tb 0.0000 0.5000 0.0000  4 Y 3.56, 4 Th 3.56, 4 Tb 3.57
4 Th 0.5000 0.0000 0.0000  8 Tb 3.56, 4 Y 3.57

Output
Space group   P4/mmm
Magnetic moment   0.00 μB per atom
V   128.1 Å³/cell

Entry ii
First-principles (GGA-PBE) data for Tb2YTh after structural relaxation, as listed in Alexandria via LeMat-Bulk.

abc: 3.5795 3.5795 11.7869
angles: 81.27 81.27 60.00
Closest atoms and distances in Å follow each position.
Fractional coordinates of all 4 atoms:
1 Y 0.5000 0.5000 0.5000  6 Y 3.58, 6 Tb 3.61
2 Tb 0.2515 0.2515 0.2454  3 Th 3.52, 6 Tb 3.58, 3 Y 3.61
3 Tb 0.7485 0.7485 0.7546  3 Th 3.52, 6 Tb 3.58, 3 Y 3.61
4 Th 0.0000 0.0000 0.0000  6 Tb 3.52, 6 Th 3.58

Output
Space group   R-3m
Magnetic moment   0.00 μB per atom
V   128.8 Å³/cell

Entry iii
First-principles (GGA-PBE) data for Tb2YTh after structural relaxation, as listed in Alexandria via LeMat-Bulk.

abc: 5.6843 5.6843 5.6843
angles: 60.00 60.00 60.00
Closest atoms and distances in Å follow each position.
Fractional coordinates of all 4 atoms:
1 Y 0.5000 0.5000 0.5000  8 Tb 3.48
2 Tb 0.2500 0.2500 0.2500  4 Y 3.48, 4 Th 3.48
3 Tb 0.7500 0.7500 0.7500  4 Th 3.48, 4 Y 3.48
4 Th 0.0000 0.0000 0.0000  8 Tb 3.48

Output
Space group   Fm-3m
Magnetic moment   0.00 μB per atom
V   129.9 Å³/cell

Entry iv
First-principles (GGA-PBE) data for Tb2YTh after structural relaxation, as listed in Alexandria via LeMat-Bulk.

abc: 3.5993 3.5993 11.6717
angles: 81.13 81.13 60.00
Closest atoms and distances in Å follow each position.
Fractional coordinates of all 4 atoms:
1 Tb 0.0819 0.0819 0.7544  3 Th 3.51, 6 Tb 3.60, 3 Y 3.60
2 Tb 0.2513 0.2513 0.2460  3 Th 3.50, 3 Y 3.57, 6 Tb 3.60
3 Y 0.5005 0.5005 0.4985  6 Tb 3.57-3.60, 6 Y 3.60
4 Th 0.6663 0.6663 0.0011  6 Tb 3.50-3.51, 6 Th 3.60

Output
Space group   R3m
Magnetic moment   0.11 μB per atom
V   128.9 Å³/cell

We find entry iv to be the most stable, with the next structure 18 meV per atom higher.

Entry i
First-principles (GGA-PBE) data for Tb6YTh after structural relaxation, as listed in Alexandria via LeMat-Bulk.

abc: 5.0514 5.0514 10.0402
angles: 90.00 90.00 90.00
Closest atoms and distances in Å follow each position.
Fractional coordinates of all 8 atoms:
1 Tb 0.5000 0.5000 0.0000  4 Y 3.57, 8 Tb 3.58
2 Tb 0.5000 0.5000 0.5000  8 Tb 3.54, 4 Th 3.57
3 Tb 0.5000 0.0000 0.2529  8 Tb 3.54-3.58, 2 Th 3.54, 2 Y 3.58
4 Tb 0.5000 0.0000 0.7471  8 Tb 3.54-3.58, 2 Th 3.54, 2 Y 3.58
5 Tb 0.0000 0.5000 0.2529  2 Th 3.54, 8 Tb 3.54-3.58, 2 Y 3.58
6 Tb 0.0000 0.5000 0.7471  8 Tb 3.54-3.58, 2 Th 3.54, 2 Y 3.58
7 Y 0.0000 0.0000 0.0000  12 Tb 3.57-3.58
8 Th 0.0000 0.0000 0.5000  12 Tb 3.54-3.57

Output
Space group   P4/mmm
Magnetic moment   0.00 μB per atom
V   256.2 Å³/cell

Entry ii
First-principles (GGA-PBE) data for Tb6YTh after structural relaxation, as listed in Alexandria via LeMat-Bulk.

abc: 6.6359 6.6160 6.7908
angles: 92.02 60.43 88.20
Closest atoms and distances in Å follow each position.
Fractional coordinates of all 8 atoms:
1 Tb 0.0830 0.7448 0.4852  6 Tb 3.26-3.51, 1 Th 3.61
2 Tb 0.5742 0.7552 0.4921  6 Tb 3.24-3.56, 1 Y 3.46, 1 Th 3.62
3 Tb 0.4258 0.2448 0.5079  6 Tb 3.24-3.56, 1 Y 3.46, 1 Th 3.62
4 Tb 0.9170 0.2552 0.5148  6 Tb 3.26-3.51, 1 Th 3.61
5 Tb 0.5416 0.7528 0.9841  6 Tb 3.24-3.56, 1 Y 3.48, 1 Th 3.54
6 Tb 0.4584 0.2472 0.0159  6 Tb 3.24-3.56, 1 Y 3.48, 1 Th 3.54
7 Y 0.0000 0.5000 0.0000  2 Th 3.31, 6 Tb 3.46-3.70
8 Th 0.0000 0.0000 0.0000  2 Y 3.31, 6 Tb 3.54-3.62

Output
Space group   P-1
Magnetic moment   0.00 μB per atom
V   258.7 Å³/cell

We find entry i to be the most stable, with the next structure 183 meV per atom higher.